Entry 1:
VASP calculation (PBE-GGA) on SrMgB after structural relaxation.

Unit cell a=4.522 b=5.554 c=6.081 alpha=108.19 beta=99.00 gamma=92.59
Fractional positions:
1 Sr 0.938 0.173 0.286
2 Sr 0.062 0.827 0.714
3 Mg 0.457 0.653 0.253
4 Mg 0.543 0.347 0.747
5 B 0.077 0.399 0.909
6 B 0.923 0.601 0.091

Symmetry: P-1
M_tot, μB/f.u.: 0.0
Relative energy among the computed polymorphs, meV per atom: 0

=====

Entry 2:
VASP calculation (PBE-GGA) on ZnMoPb after structural relaxation.

Unit cell a=7.442 b=7.442 c=7.442 alpha=156.92 beta=156.92 gamma=32.86
Fractional positions:
1 Mo 0.015 0.015 0.000
2 Pb 0.350 0.350 0.000
3 Zn 0.634 0.634 0.000

Symmetry: I4mm
M_tot, μB/f.u.: 0.1
Relative energy among the computed polymorphs, meV per atom: 8